1.
Here is crystalline SrHfMgBi2 at its relaxed geometry from the Alexandria database. Energies are from PBE-GGA.

Geometry as CIF:
```
data_SrHfMgBi2
_chemical_formula_sum 'Sr1 Hf1 Mg1 Bi2'
_cell_length_a 5.592
_cell_length_b 5.592
_cell_length_c 5.422
_cell_angle_alpha 90.00
_cell_angle_beta 90.00
_cell_angle_gamma 90.00
_space_group_name_H-M_alt 'P 4/m m m'
_space_group_IT_number 123
_space_group_name_Hall '-P 4 2'
loop_
_atom_site_label
_atom_site_fract_x
_atom_site_fract_y
_atom_site_fract_z
_atom_site_occupancy
Sr1 0.000 0.000 0.000 1
Hf1 0.500 0.500 0.000 1
Mg1 0.500 0.500 0.500 1
Bi1 0.000 0.500 0.500 1
```

Computed properties:
E, eV/atom: -3.7287
Crystal system: tetragonal
DOS at the Fermi energy, states/eV per cell: 5.1
ρ, g/cm³: 6.94
Total magnetic moment, μB/f.u.: 1.17

2.
Here is crystalline Dy2In2BRh4 at its relaxed geometry from the Alexandria database. Energies are from PBE-GGA.

Geometry as CIF:
```
data_Dy2In2BRh4
_chemical_formula_sum 'Dy4 In4 B2 Rh8'
_cell_length_a 6.170
_cell_length_b 6.170
_cell_length_c 8.444
_cell_angle_alpha 90.00
_cell_angle_beta 90.00
_cell_angle_gamma 90.00
_space_group_name_H-M_alt 'I 4/m m m'
_space_group_IT_number 139
_space_group_name_Hall '-I 4 2'
loop_
_atom_site_label
_atom_site_fract_x
_atom_site_fract_y
_atom_site_fract_z
_atom_site_occupancy
Dy1 0.000 0.000 0.203 1
In1 0.000 0.500 0.250 1
B1 0.000 0.000 0.500 1
Rh1 0.238 0.238 0.500 1
```

Computed properties:
E, eV/atom: -6.1489
Crystal system: tetragonal
DOS at the Fermi energy, states/eV per cell: 4.9
ρ, g/cm³: 10.09
Total magnetic moment, μB/f.u.: 0.00

3.
Here is crystalline SmCd3Pd3 at its relaxed geometry from the Alexandria database. Energies are from PBE-GGA.

Geometry as CIF:
```
data_SmCd3Pd3
_chemical_formula_sum 'Sm3 Cd9 Pd9'
_cell_length_a 9.4542
_cell_length_b 9.4542
_cell_length_c 5.6327
_cell_angle_alpha 90.00
_cell_angle_beta 90.00
_cell_angle_gamma 120.00
_space_group_name_H-M_alt 'R 3 m'
_space_group_IT_number 160
_space_group_name_Hall 'R 3 -2"'
loop_
_atom_site_label
_atom_site_fract_x
_atom_site_fract_y
_atom_site_fract_z
_atom_site_occupancy
Sm1 0.0000 0.0000 0.0000 1
Cd1 0.0346 0.5173 0.1042 1
Pd1 0.1696 0.3393 0.9254 1
```

Computed properties:
E, eV/atom: -3.7331
Crystal system: trigonal
DOS at the Fermi energy, states/eV per cell: 7.3
ρ, g/cm³: 9.22
Energy above the lowest structure with this stoichiometry, eV/atom: 0.0000
Total magnetic moment, μB/f.u.: 0.00